Here is an optimized crystal structure of CaY5Sb4 from Alexandria via LeMat-Bulk. Energies are from PBE.

Output
For the raw formation energy, the calculation gives -698 kJ/mol of formula units. As for the calculated volume: 33.5 Å³ per atom. The value obtained for the density of states at the Fermi level is 4.05 states/eV/cell. Its symmetry is C2/m (12). The value obtained for the total magnetic moment is 0.0000 μB/atom.

a b c (Å): 4.3292 8.5685 9.6506
angles (deg): 105.51 102.96 90.00
Closest atoms and distances in Å follow each position.
Atoms (fractional coordinates):
Sb 0.3281 0.9062 0.6561  5 Y 3.02-3.08, 1 Ca 3.11
Sb 0.0074 0.2615 0.0148  4 Y 3.01-3.06, 2 Ca 3.09
Sb 0.6719 0.0938 0.3439  5 Y 3.02-3.08, 1 Ca 3.11
Sb 0.9926 0.7385 0.9852  4 Y 3.01-3.06, 2 Ca 3.09
Y 0.1752 0.3490 0.3505  3 Sb 3.04-3.07
Y 0.8248 0.6510 0.6495  3 Sb 3.04-3.07
Y 0.8383 0.1679 0.6766  4 Sb 3.02-3.08
Y 0.1617 0.8321 0.3234  4 Sb 3.02-3.08
Y 0.5000 0.5000 0.0000  4 Sb 3.01
Ca 0.5000 0.0000 0.0000  6 Sb 3.09-3.11

Here is an optimized crystal structure of Ca2YSb from Alexandria via LeMat-Bulk. Energies are from PBE.

Output
For the raw formation energy, the calculation gives -181 kJ/mol of formula units. As for the calculated volume: 32.7 Å³ per atom. The value obtained for the density of states at the Fermi level is 2.14 states/eV/cell. Its symmetry is Imm2 (44). The energy above the most stable polymorph in this dataset is 0 meV/atom. The value obtained for the total magnetic moment is 0.0000 μB/atom.

a b c (Å): 6.7381 6.7381 5.3869
angles (deg): 66.44 66.44 36.08
Closest atoms and distances in Å follow each position.
Atoms (fractional coordinates):
Sb 0.5055 0.5055 0.4943  2 Y 3.13, 6 Ca 3.25-3.41
Y 0.2062 0.2062 0.2938  2 Sb 3.13
Ca 0.9970 0.9970 0.0030  4 Sb 3.41, 2 Ca 3.60, 2 Y 3.63
Ca 0.7912 0.7912 0.7089  2 Sb 3.25, 4 Y 3.55, 2 Ca 3.60

Here is an optimized crystal structure of Ca2YSb from Alexandria via LeMat-Bulk. Energies are from PBE.

Output
For the raw formation energy, the calculation gives -132 kJ/mol of formula units. As for the calculated volume: 33.3 Å³ per atom. The value obtained for the density of states at the Fermi level is 4.07 states/eV/cell. Its symmetry is P4/mmm (123). The energy above the most stable polymorph in this dataset is 127 meV/atom. The value obtained for the total magnetic moment is 0.0727 μB/atom.

a b c (Å): 3.8136 3.8136 9.1660
angles (deg): 90.00 90.00 89.99
Closest atoms and distances in Å follow each position.
Atoms (fractional coordinates):
Y 0.5000 0.5000 0.7500  4 Y 3.81, 8 Ca 3.85
Ca 0.0000 0.0000 0.4500  4 Sb 3.26
Ca 0.0000 0.0000 0.0500  4 Sb 3.26
Sb 0.5000 0.5000 0.2500  8 Ca 3.26

Here is an optimized crystal structure of CaYSb2 from Alexandria via LeMat-Bulk. Energies are from PBE.

Output
For the raw formation energy, the calculation gives -289 kJ/mol of formula units. As for the calculated volume: 30.9 Å³ per atom. The value obtained for the density of states at the Fermi level is 2.63 states/eV/cell. Its symmetry is I-42d (122). The energy above the most stable polymorph in this dataset is 194 meV/atom. The value obtained for the total magnetic moment is 0.0000 μB/atom.

a b c (Å): 8.2510 8.2510 6.8735
angles (deg): 53.12 53.12 90.00
Closest atoms and distances in Å follow each position.
Atoms (fractional coordinates):
Ca 0.2500 0.7500 0.5000  4 Sb 3.08
Ca 0.5000 0.5000 0.0000  4 Sb 3.08
Sb 0.1206 0.6250 0.2500  2 Y 3.03, 2 Ca 3.08
Sb 0.8750 0.8794 0.7500  2 Y 3.03, 2 Ca 3.08
Sb 0.6294 0.1250 0.2500  2 Y 3.03, 2 Ca 3.08
Sb 0.3750 0.3706 0.7500  2 Y 3.03, 2 Ca 3.08
Y 0.0000 0.0000 0.0000  4 Sb 3.03
Y 0.7500 0.2500 0.5000  4 Sb 3.03

Here is an optimized crystal structure of CaYSb2 from Alexandria via LeMat-Bulk. Energies are from PBE.

Output
For the raw formation energy, the calculation gives -304 kJ/mol of formula units. As for the calculated volume: 28.4 Å³ per atom. The value obtained for the density of states at the Fermi level is 3.10 states/eV/cell. Its symmetry is Fm-3m (225). The energy above the most stable polymorph in this dataset is 155 meV/atom. The value obtained for the total magnetic moment is 0.0000 μB/atom.

a b c (Å): 5.4355 5.4355 5.4355
angles (deg): 60.00 60.00 60.00
Closest atoms and distances in Å follow each position.
Atoms (fractional coordinates):
Ca 0.0000 0.0000 0.0000  8 Sb 3.33
Sb 0.7500 0.7500 0.7500  4 Y 3.33, 4 Ca 3.33
Sb 0.2500 0.2500 0.2500  4 Y 3.33, 4 Ca 3.33
Y 0.5000 0.5000 0.5000  8 Sb 3.33

Here is an optimized crystal structure of CaYSb2 from Alexandria via LeMat-Bulk. Energies are from PBE.

Output
For the raw formation energy, the calculation gives -329 kJ/mol of formula units. As for the calculated volume: 28.3 Å³ per atom. The value obtained for the density of states at the Fermi level is 1.75 states/eV/cell. Its symmetry is P2/m (10). The energy above the most stable polymorph in this dataset is 90 meV/atom. The value obtained for the total magnetic moment is 0.0110 μB/atom.

a b c (Å): 4.0698 3.4411 8.4985
angles (deg): 72.14 90.00 90.00
Closest atoms and distances in Å follow each position.
Atoms (fractional coordinates):
Sb 0.0000 0.0033 0.0086  4 Y 3.18-3.44, 4 Ca 3.30-3.48, 2 Sb 3.44
Sb 0.0000 0.4967 0.4914  4 Y 3.18-3.44, 4 Ca 3.30-3.48, 2 Sb 3.44
Ca 0.5000 0.7500 0.7500  8 Sb 3.30-3.48, 2 Ca 3.44
Y 0.5000 0.2500 0.2500  8 Sb 3.18-3.44, 2 Y 3.44

Here is an optimized crystal structure of CaYSb2 from Alexandria via LeMat-Bulk. Energies are from PBE.

Output
For the raw formation energy, the calculation gives -326 kJ/mol of formula units. As for the calculated volume: 28.8 Å³ per atom. The value obtained for the density of states at the Fermi level is 1.71 states/eV/cell. Its symmetry is Cmmm (65). The energy above the most stable polymorph in this dataset is 99 meV/atom. The value obtained for the total magnetic moment is 0.0000 μB/atom.

a b c (Å): 3.7629 3.7629 8.2835
angles (deg): 90.00 90.00 101.33
Closest atoms and distances in Å follow each position.
Atoms (fractional coordinates):
Ca 0.5000 0.5000 0.7500  4 Sb 3.21
Y 0.5000 0.5000 0.2500  4 Sb 3.10
Sb 0.0000 0.0000 0.4898  2 Y 3.10, 2 Ca 3.21
Sb 0.0000 0.0000 0.0102  2 Y 3.10, 2 Ca 3.21

Here is an optimized crystal structure of Ca2YSb from Alexandria via LeMat-Bulk. Energies are from PBE.

Output
For the raw formation energy, the calculation gives -166 kJ/mol of formula units. As for the calculated volume: 31.2 Å³ per atom. The value obtained for the density of states at the Fermi level is 2.36 states/eV/cell. Its symmetry is Pmmm (47). The energy above the most stable polymorph in this dataset is 37 meV/atom. The value obtained for the total magnetic moment is 0.0000 μB/atom.

a b c (Å): 4.3139 4.3027 7.9765
angles (deg): 57.33 90.00 90.00
Closest atoms and distances in Å follow each position.
Atoms (fractional coordinates):
Ca 0.0000 0.9805 0.0193  1 Ca 3.10, 4 Sb 3.42
Ca 0.0000 0.5195 0.4807  1 Ca 3.10, 4 Sb 3.42
Y 0.5000 0.7500 0.7500  2 Sb 3.36, 8 Ca 3.54
Sb 0.5000 0.2500 0.2500  2 Y 3.36, 8 Ca 3.42

Here is an optimized crystal structure of CaYSb2 from Alexandria via LeMat-Bulk. Energies are from PBE.

Output
For the raw formation energy, the calculation gives -108 kJ/mol of formula units. As for the calculated volume: 31.5 Å³ per atom. The value obtained for the density of states at the Fermi level is 2.52 states/eV/cell. Its symmetry is P4mm (99). The energy above the most stable polymorph in this dataset is 661 meV/atom. The value obtained for the total magnetic moment is 0.0000 μB/atom.

a b c (Å): 3.4044 3.4044 10.8863
angles (deg): 90.00 90.00 90.00
Closest atoms and distances in Å follow each position.
Atoms (fractional coordinates):
Y 0.0000 0.0000 0.4757  4 Sb 3.21, 4 Y 3.40
Sb 0.0000 0.0000 0.9768  4 Ca 3.32, 4 Sb 3.40
Sb 0.5000 0.5000 0.2807  4 Y 3.21, 4 Sb 3.40
Ca 0.5000 0.5000 0.7668  4 Sb 3.32, 4 Ca 3.40

Here is an optimized crystal structure of CaY3Sb from Alexandria via LeMat-Bulk. Energies are from PBE.

Output
For the raw formation energy, the calculation gives 392 kJ/mol of formula units. As for the calculated volume: 33.6 Å³ per atom. The value obtained for the density of states at the Fermi level is 4.08 states/eV/cell. Its symmetry is Pm-3m (221). The energy above the most stable polymorph in this dataset is 883 meV/atom. The value obtained for the total magnetic moment is 0.0000 μB/atom.

a b c (Å): 5.5185 5.5185 5.5185
angles (deg): 90.00 90.00 90.00
Closest atoms and distances in Å follow each position.
Atoms (fractional coordinates):
Y 0.0000 0.0000 0.5000  2 Ca 2.76
Y 0.0000 0.5000 0.0000  2 Ca 2.76
Y 0.5000 0.0000 0.0000  2 Ca 2.76
Ca 0.0000 0.0000 0.0000  6 Y 2.76
Sb 0.5000 0.5000 0.5000  12 Y 3.90

Here is an optimized crystal structure of Ca3YSb from Alexandria via LeMat-Bulk. Energies are from PBE.

Output
For the raw formation energy, the calculation gives -29 kJ/mol of formula units. As for the calculated volume: 41.9 Å³ per atom. The value obtained for the density of states at the Fermi level is 1.07 states/eV/cell. Its symmetry is Pm-3m (221). The energy above the most stable polymorph in this dataset is 0 meV/atom. The value obtained for the total magnetic moment is 0.0000 μB/atom.

a b c (Å): 5.9376 5.9376 5.9376
angles (deg): 90.00 90.00 90.00
Closest atoms and distances in Å follow each position.
Atoms (fractional coordinates):
Y 0.5000 0.5000 0.5000  12 Ca 4.20
Sb 0.0000 0.0000 0.0000  6 Ca 2.97
Ca 0.5000 0.0000 0.0000  2 Sb 2.97
Ca 0.0000 0.0000 0.5000  2 Sb 2.97
Ca 0.0000 0.5000 0.0000  2 Sb 2.97

Here is an optimized crystal structure of CaYSb2 from Alexandria via LeMat-Bulk. Energies are from PBE.

Output
For the raw formation energy, the calculation gives -364 kJ/mol of formula units. As for the calculated volume: 31.3 Å³ per atom. The value obtained for the density of states at the Fermi level is 2.04 states/eV/cell. Its symmetry is C2/m (12). The energy above the most stable polymorph in this dataset is 0 meV/atom. The value obtained for the total magnetic moment is 0.0000 μB/atom.

a b c (Å): 4.3159 4.3159 8.0899
angles (deg): 74.10 74.10 61.25
Closest atoms and distances in Å follow each position.
Atoms (fractional coordinates):
Sb 0.5033 0.5033 0.4891  3 Y 3.10-3.11, 3 Ca 3.21
Sb 0.9967 0.9967 0.0109  3 Y 3.10-3.11, 3 Ca 3.21
Ca 0.7500 0.7500 0.7500  6 Sb 3.21
Y 0.2500 0.2500 0.2500  6 Sb 3.10-3.11

Here is an optimized crystal structure of CaZn2Sb from Alexandria via LeMat-Bulk. Energies are from PBE.

Output
For the raw formation energy, the calculation gives -101 kJ/mol of formula units. As for the calculated volume: 25.9 Å³ per atom. The value obtained for the density of states at the Fermi level is 1.05 states/eV/cell. Its symmetry is P2/m (10). The value obtained for the total magnetic moment is 0.0000 μB/atom.

a b c (Å): 4.7330 4.3519 5.0254
angles (deg): 89.16 90.00 90.00
Closest atoms and distances in Å follow each position.
Atoms (fractional coordinates):
Zn 0.0000 0.6637 0.4821  1 Zn 2.44
Zn 0.0000 0.8363 0.0179  1 Zn 2.44
Ca 0.5000 0.2500 0.2500  4 Zn 3.20, 4 Sb 3.30-3.35
Sb 0.5000 0.7500 0.7500  4 Zn 2.75

Here is an optimized crystal structure of CaZnSb2 from Alexandria via LeMat-Bulk. Energies are from PBE.

Output
For the raw formation energy, the calculation gives -57 kJ/mol of formula units. As for the calculated volume: 26.5 Å³ per atom. The value obtained for the density of states at the Fermi level is 3.51 states/eV/cell. Its symmetry is F-43m (216). The value obtained for the total magnetic moment is 0.0000 μB/atom.

a b c (Å): 5.3144 5.3144 5.3144
angles (deg): 60.00 60.00 60.00
Closest atoms and distances in Å follow each position.
Atoms (fractional coordinates):
Ca 0.5000 0.5000 0.5000  4 Zn 3.25, 4 Sb 3.25
Zn 0.7500 0.7500 0.7500  4 Ca 3.25, 4 Sb 3.25
Sb 0.0000 0.0000 0.0000  4 Sb 3.25, 4 Zn 3.25
Sb 0.2500 0.2500 0.2500  4 Ca 3.25, 4 Sb 3.25